Record 1
An optimized crystal structure of La8Sm5Tm, computed with PBE.

a = 9.4108 Å, b = 8.5775 Å, c = 9.0624 Å
α = 118.88°, β = 98.30°, γ = 116.61°
Element x y z (fractional)
1 La 0.1516 0.7342 0.0323
2 La 0.9583 0.1727 0.6580
3 La 0.6900 0.2047 0.3585
4 La 0.6498 0.3099 0.7876
5 La 0.6703 0.5248 0.2448
6 La 0.4358 0.8796 0.8279
7 La 0.3334 0.3166 0.4589
8 La 0.1448 0.8806 0.5214
9 Sm 0.9594 0.3281 0.1272
10 Sm 0.8908 0.9022 0.1722
11 Sm 0.7596 0.7639 0.7324
12 Sm 0.4526 0.7597 0.3870
13 Sm 0.2148 0.1627 0.9969
14 Tm 0.4388 0.5603 0.9451

Results
Symmetry   P1
Calculated volume   508 Å³ per cell
Magnetization   0.0 μB/f.u.
Formation energy   0.121 eV per atom
DFT total energy   -4.6996 eV per atom

=====

Record 2
An optimized crystal structure of K4Rb4Au, computed with PBE.

a = 7.3431 Å, b = 10.4319 Å, c = 10.4319 Å
α = 82.88°, β = 69.39°, γ = 69.39°
Element x y z (fractional)
1 K 0.8331 0.3336 0.0001
2 K 0.1669 0.6664 0.9999
3 K 0.8332 0.9999 0.3336
4 K 0.1668 0.0001 0.6664
5 Rb 0.8126 0.6877 0.6871
6 Rb 0.1874 0.3123 0.3129
7 Rb 0.4997 0.3129 0.6877
8 Rb 0.5003 0.6871 0.3123
9 Au 0.0000 0.0000 0.0000

Results
Symmetry   I4/mmm
Calculated volume   700 Å³ per cell
Magnetization   0.0 μB/f.u.
Formation energy   -0.001 eV per atom
DFT total energy   -1.2830 eV per atom

=====

Record 3
An optimized crystal structure of Pm2NpTc2, computed with PBE.

a = 5.8228 Å, b = 5.8228 Å, c = 7.9514 Å
α = 82.91°, β = 82.91°, γ = 62.86°
Each line ends with the local moment (μB).
Element x y z (fractional)
1 Pm 0.4748 0.2234 0.1522  0.06
2 Pm 0.7766 0.5252 0.3478  0.06
3 Pm 0.5252 0.7766 0.8478  0.06
4 Pm 0.2234 0.4748 0.6522  0.06
5 Np 0.1328 0.8672 0.2500  2.20
6 Np 0.8672 0.1328 0.7500  2.20
7 Tc 0.7519 0.0029 0.5158  -0.33
8 Tc 0.9971 0.2481 0.9842  -0.33
9 Tc 0.2481 0.9971 0.4842  -0.33
10 Tc 0.0029 0.7519 0.0158  -0.33

Results
Symmetry   C2/c
Calculated volume   237 Å³ per cell
Magnetization   1.8 μB/f.u.
Formation energy   -0.027 eV per atom
DFT total energy   -8.6621 eV per atom

=====

Record 4
An optimized crystal structure of Mo2AuCI, computed with PBE.

a = 4.4270 Å, b = 4.1964 Å, c = 4.4270 Å
α = 90.00°, β = 90.00°, γ = 90.00°
Element x y z (fractional)
1 I 0.5000 0.5000 0.5000
2 Mo 0.0000 0.0000 0.5000
3 Mo 0.5000 0.0000 0.0000
4 Au 0.0000 0.5000 0.0000
5 C 0.0000 0.0000 0.0000

Results
Symmetry   P4/mmm
Calculated volume   82 Å³ per cell
Magnetization   0.0 μB/f.u.
E_form (uncorrected)   1.01 eV/atom
DFT total energy   -6.1317 eV per atom